PBE LiCe2UP4, optimized geometry; ΔH_f (0 K) = -1.0226 eV/atom; SG = P2/m; V = 22.69 Å³/atom; DFT total energy = -54.890 eV/cell; ρ = 5.939 g/cm³
1.0
4.046 0.000 0.000
0.000 6.906 0.125
0.000 -2.408 6.452
P U Ce Li
4 1 2 1
direct
0.500 0.241 0.238
0.500 0.759 0.762
0.000 0.760 0.245
0.000 0.240 0.755
0.000 0.000 0.000
0.000 0.500 0.500
0.500 0.000 0.500
0.500 0.500 0.000